No. 1
! Zr2Pt | OQMD via LeMat-Bulk | PBE | optimized geometry; values from VASP
! SG: Fd-3m, No. 227
! E_form, eV per formula unit: 0.07
&SYSTEM
  ibrav = 0, nat = 6, ntyp = 2
/
ATOMIC_SPECIES
Zr 91.22 Zr.upf
Pt 195.08 Pt.upf
CELL_PARAMETERS angstrom
0.000 3.891 3.891
3.891 0.000 3.891
3.891 3.891 0.000
ATOMIC_POSITIONS crystal
Zr 0.000 0.000 0.000
Zr 0.000 0.000 0.500
Zr 0.000 0.500 0.000
Zr 0.500 0.000 0.000
Pt 0.375 0.375 0.375
Pt 0.625 0.625 0.625



No. 2
! ScUSi | OQMD via LeMat-Bulk | PBE | optimized geometry; values from VASP
! SG: F-43m, No. 216
! ΔE to the lowest computed polymorph, meV per atom: 0
&SYSTEM
  ibrav = 0, nat = 3, ntyp = 3
/
ATOMIC_SPECIES
Sc 44.96 Sc.upf
U 238.03 U.upf
Si 28.09 Si.upf
CELL_PARAMETERS angstrom
0.000 3.288 3.288
3.288 0.000 3.288
3.288 3.288 0.000
ATOMIC_POSITIONS crystal
Sc 0.000 0.000 0.000
U 0.500 0.500 0.500
Si 0.250 0.250 0.250



No. 3
! NaNiTe2AuSe | OQMD via LeMat-Bulk | PBE | optimized geometry; values from VASP
! SG: Cmcm, No. 63
! Total DFT energy (no corrections), eV/cell: -42.4
&SYSTEM
  ibrav = 0, nat = 12, ntyp = 5
/
ATOMIC_SPECIES
Na 22.99 Na.upf
Ni 58.69 Ni.upf
Te 127.60 Te.upf
Au 196.97 Au.upf
Se 78.96 Se.upf
CELL_PARAMETERS angstrom
1.927 -6.811 0.000
1.927 6.811 0.000
0.000 0.000 10.843
ATOMIC_POSITIONS crystal
Na 0.230 0.770 0.750
Na 0.770 0.230 0.250
Ni 0.500 0.500 0.000
Ni 0.500 0.500 0.500
Te 0.125 0.875 0.009
Te 0.125 0.875 0.491
Te 0.875 0.125 0.509
Te 0.875 0.125 0.991
Au 0.099 0.901 0.250
Au 0.901 0.099 0.750
Se 0.450 0.550 0.250
Se 0.550 0.450 0.750



No. 4
! TbPuSi | OQMD via LeMat-Bulk | PBE | optimized geometry; values from VASP
! SG: F-43m, No. 216
! ΔE to the lowest computed polymorph, meV per atom: 0
&SYSTEM
  ibrav = 0, nat = 3, ntyp = 3
/
ATOMIC_SPECIES
Tb 158.93 Tb.upf
Pu 244.00 Pu.upf
Si 28.09 Si.upf
CELL_PARAMETERS angstrom
0.000 3.436 3.436
3.436 0.000 3.436
3.436 3.436 0.000
ATOMIC_POSITIONS crystal
Tb 0.000 0.000 0.000
Pu 0.500 0.500 0.500
Si 0.750 0.750 0.750



No. 5
! LaSmGe2Ir | OQMD via LeMat-Bulk | PBE | optimized geometry; values from VASP
! SG: C2/m, No. 12
! ΔE to the lowest computed polymorph, meV per atom: 26
&SYSTEM
  ibrav = 0, nat = 10, ntyp = 4
/
ATOMIC_SPECIES
La 138.91 La.upf
Sm 150.36 Sm.upf
Ge 72.64 Ge.upf
Ir 192.22 Ir.upf
CELL_PARAMETERS angstrom
5.554 -2.167 0.000
5.554 2.167 0.000
-5.435 0.000 9.726
ATOMIC_POSITIONS crystal
La 0.205 0.205 0.107
La 0.795 0.795 0.893
Sm 0.061 0.061 0.357
Sm 0.939 0.939 0.643
Ge 0.371 0.371 0.422
Ge 0.500 0.500 0.121
Ge 0.500 0.500 0.879
Ge 0.629 0.629 0.578
Ir 0.248 0.248 0.688
Ir 0.752 0.752 0.312



No. 6
! Er5Ir2 | OQMD via LeMat-Bulk | PBE | optimized geometry; values from VASP
! SG: C2/c, No. 15
! E_form, eV per formula unit: -4.88
&SYSTEM
  ibrav = 0, nat = 14, ntyp = 2
/
ATOMIC_SPECIES
Er 167.26 Er.upf
Ir 192.22 Ir.upf
CELL_PARAMETERS angstrom
7.781 -3.216 0.000
7.781 3.216 0.000
-0.889 0.000 7.094
ATOMIC_POSITIONS crystal
Er 0.071 0.929 0.750
Er 0.152 0.288 0.316
Er 0.288 0.152 0.816
Er 0.290 0.526 0.081
Er 0.474 0.710 0.419
Er 0.526 0.290 0.581
Er 0.710 0.474 0.919
Er 0.712 0.848 0.184
Er 0.848 0.712 0.684
Er 0.929 0.071 0.250
Ir 0.106 0.674 0.426
Ir 0.326 0.894 0.074
Ir 0.674 0.106 0.926
Ir 0.894 0.326 0.574



No. 7
! SrGdPb | OQMD via LeMat-Bulk | PBE | optimized geometry; values from VASP
! SG: F-43m, No. 216
! ΔE to the lowest computed polymorph, meV per atom: 0
&SYSTEM
  ibrav = 0, nat = 3, ntyp = 3
/
ATOMIC_SPECIES
Sr 87.62 Sr.upf
Gd 157.25 Gd.upf
Pb 207.20 Pb.upf
CELL_PARAMETERS angstrom
0.000 3.846 3.846
3.846 0.000 3.846
3.846 3.846 0.000
ATOMIC_POSITIONS crystal
Sr 0.000 0.000 0.000
Gd 0.500 0.500 0.500
Pb 0.750 0.750 0.750



No. 8
! Ta2GeN | OQMD via LeMat-Bulk | PBE | optimized geometry; values from VASP
! SG: C2/c, No. 15
! ΔE to the lowest computed polymorph, meV per atom: 0
&SYSTEM
  ibrav = 0, nat = 24, ntyp = 3
/
ATOMIC_SPECIES
Ta 180.95 Ta.upf
Ge 72.64 Ge.upf
N 14.01 N.upf
CELL_PARAMETERS angstrom
4.872 -2.812 0.000
4.872 2.812 0.000
-3.261 0.000 12.327
ATOMIC_POSITIONS crystal
Ta 0.031 0.864 0.593
Ta 0.136 0.969 0.907
Ta 0.197 0.365 0.092
Ta 0.304 0.468 0.409
Ta 0.365 0.197 0.592
Ta 0.468 0.304 0.909
Ta 0.532 0.696 0.091
Ta 0.635 0.803 0.408
Ta 0.696 0.532 0.591
Ta 0.803 0.635 0.908
Ta 0.864 0.031 0.093
Ta 0.969 0.136 0.407
Ge 0.084 0.252 0.750
Ge 0.252 0.084 0.250
Ge 0.419 0.581 0.750
Ge 0.581 0.419 0.250
Ge 0.748 0.916 0.750
Ge 0.916 0.748 0.250
N 0.000 0.500 0.500
N 0.165 0.670 0.000
N 0.330 0.835 0.500
N 0.500 0.000 0.000
N 0.670 0.165 0.500
N 0.835 0.330 0.000